[1]
Below is Hf4Au2CN after structural relaxation, with properties calculated at the PBE-GGA level.

Summary:
energy = -8.895 eV per atom

a = 3.2664 Å, b = 3.2664 Å, c = 14.0666 Å
α = 90.00°, β = 90.00°, γ = 120.00°
Fractional coordinates of all 8 atoms:
Hf 0.3333 0.6667 0.0911
Hf 0.3333 0.6667 0.4116
Hf 0.6667 0.3333 0.5884
Hf 0.6667 0.3333 0.9089
Au 0.3333 0.6667 0.7474
Au 0.6667 0.3333 0.2526
C 0.0000 0.0000 0.0000
N 0.0000 0.0000 0.5000

[2]
Below is Hf2Nb4Au3C3 after structural relaxation, with properties calculated at the PBE-GGA level.

Summary:
energy = -8.666 eV per atom

a = 5.5799 Å, b = 5.5799 Å, c = 14.3028 Å
α = 101.31°, β = 101.31°, γ = 59.94°
Fractional coordinates of all 24 atoms:
Hf 0.0338 0.8706 0.5994
Hf 0.1294 0.9662 0.9006
Hf 0.8706 0.0338 0.0994
Hf 0.9662 0.1294 0.4006
Nb 0.1939 0.3569 0.0821
Nb 0.3015 0.4773 0.4180
Nb 0.3569 0.1939 0.5821
Nb 0.4773 0.3015 0.9180
Nb 0.5227 0.6985 0.0820
Nb 0.6431 0.8061 0.4179
Nb 0.6985 0.5227 0.5820
Nb 0.8061 0.6431 0.9179
Au 0.0845 0.2907 0.7511
Au 0.2907 0.0845 0.2511
Au 0.4594 0.5406 0.7500
Au 0.5406 0.4594 0.2500
Au 0.7093 0.9155 0.7489
Au 0.9155 0.7093 0.2489
C 0.0000 0.5000 0.5000
C 0.1642 0.6713 0.0000
C 0.3287 0.8358 0.5000
C 0.5000 0.0000 0.0000
C 0.6713 0.1642 0.5000
C 0.8358 0.3287 0.0000

[3]
Below is Hf4Nb2Au3C3 after structural relaxation, with properties calculated at the PBE-GGA level.

Summary:
energy = -8.752 eV per atom

a = 5.6304 Å, b = 5.6304 Å, c = 14.4433 Å
α = 101.39°, β = 101.39°, γ = 60.01°
Fractional coordinates of all 24 atoms:
Hf 0.0343 0.1954 0.0931
Hf 0.1320 0.3022 0.4070
Hf 0.1954 0.0343 0.5931
Hf 0.3022 0.1320 0.9070
Hf 0.6978 0.8680 0.0930
Hf 0.8046 0.9657 0.4069
Hf 0.8680 0.6978 0.5930
Hf 0.9657 0.8046 0.9069
Nb 0.3578 0.5270 0.0797
Nb 0.4730 0.6422 0.4203
Nb 0.5270 0.3578 0.5797
Nb 0.6422 0.4730 0.9203
Au 0.1070 0.8930 0.2500
Au 0.2743 0.4169 0.7509
Au 0.4169 0.2743 0.2509
Au 0.5831 0.7257 0.7491
Au 0.7257 0.5831 0.2491
Au 0.8930 0.1070 0.7500
C 0.0000 0.5000 0.0000
C 0.1651 0.6675 0.5000
C 0.3325 0.8349 0.0000
C 0.5000 0.0000 0.5000
C 0.6675 0.1651 0.0000
C 0.8349 0.3325 0.5000

[4]
Below is Hf4PbAuC2 after structural relaxation, with properties calculated at the PBE-GGA level.

Summary:
energy = -8.831 eV per atom

a = 3.3300 Å, b = 3.3300 Å, c = 14.4359 Å
α = 90.00°, β = 90.00°, γ = 120.00°
Fractional coordinates of all 8 atoms:
Hf 0.0000 0.0000 0.1559
Hf 0.0000 0.0000 0.8441
Hf 0.6667 0.3333 0.3275
Hf 0.6667 0.3333 0.6725
Pb 0.0000 0.0000 0.5000
Au 0.6667 0.3333 0.0000
C 0.3333 0.6667 0.2438
C 0.3333 0.6667 0.7562

[5]
Below is Hf4SbAuC2 after structural relaxation, with properties calculated at the PBE-GGA level.

Summary:
energy = -8.938 eV per atom

a = 3.3399 Å, b = 3.3399 Å, c = 14.0667 Å
α = 90.00°, β = 90.00°, γ = 120.00°
Fractional coordinates of all 8 atoms:
Hf 0.0000 0.0000 0.1596
Hf 0.0000 0.0000 0.8404
Hf 0.6667 0.3333 0.3358
Hf 0.6667 0.3333 0.6642
Sb 0.0000 0.0000 0.5000
Au 0.6667 0.3333 0.0000
C 0.3333 0.6667 0.2488
C 0.3333 0.6667 0.7512

[6]
Below is Hf4SiAuC2 after structural relaxation, with properties calculated at the PBE-GGA level.

Summary:
energy = -9.128 eV per atom

a = 3.2802 Å, b = 3.2802 Å, c = 13.7876 Å
α = 90.00°, β = 90.00°, γ = 120.00°
Fractional coordinates of all 8 atoms:
Hf 0.0000 0.0000 0.1511
Hf 0.0000 0.0000 0.8489
Hf 0.6667 0.3333 0.3362
Hf 0.6667 0.3333 0.6638
Si 0.6667 0.3333 0.0000
Au 0.0000 0.0000 0.5000
C 0.3333 0.6667 0.2435
C 0.3333 0.6667 0.7565